Computed, not measured: a relaxed structure of LiLaW2 at the PBE level of DFT.

Cell lengths 3.919, 3.919, 5.068 Å; angles 90.00, 90.00, 90.00 degrees
Atoms (fractional coordinates):
Li: 0.000 0.000 0.000
La: 0.500 0.500 0.000
W: 0.000 0.500 0.500
W: 0.500 0.000 0.500

Results
formation energy	0.7664	eV/atom
calculated volume	19.456	Å³ per atom
energy above the lowest structure with this stoichiometry	0.3170	eV/atom
total moment	0.00	μB/atom
ρ	10.96	g/cm3
calculated total energy	-0.5454	Ry/atom